## YEr3Mg2 (GGA-PBE)

Data for a relaxed structure of YEr3Mg2.

Structure (POSCAR):
```
YEr3Mg2
1.0
3.607 0.000 0.000
0.000 3.607 0.000
0.000 0.000 13.143
Y Er Mg
1 3 2
Cartesian
0.000 0.000 0.000
1.803 1.803 2.458
1.803 1.803 6.572
1.803 1.803 10.686
0.000 0.000 4.550
0.000 0.000 8.593
```

Properties
- Space group: P4/mmm, No. 123
- Formation energy from the elements: -3.3 kJ per mole of atoms
- Energy: -3.925 eV per atom
- N(E_F): 1.24 states/eV/atom